[1]
Tm2Hf | PBE-GGA | optimized geometry

a b c (Å): 3.343 3.343 14.528
angles (deg): 90.00 90.00 90.00
Space group I4/mmm (No. 139)
Inequivalent atoms, fractional coordinates:
Tm: 0.000 0.000 0.156 (multiplicity 4)
Hf: 0.000 0.000 0.500 (multiplicity 2)

Results
The value obtained for the total energy is -6.200 eV/atom. Its total magnetization is 0.00 μB/atom. For the density of states at the Fermi level, the calculation gives 1.3496 states/eV per atom.

***

[2]
La11Dy4Tm9 | PBE-GGA | optimized geometry

a b c (Å): 17.067 25.846 3.695
angles (deg): 90.00 90.00 90.00
Space group Cmmm (No. 65)
Inequivalent atoms, fractional coordinates:
La: 0.000 0.000 0.000 (multiplicity 2)
La: 0.000 0.160 0.000 (multiplicity 4)
La: 0.000 0.368 0.000 (multiplicity 4)
La: 0.208 0.500 0.000 (multiplicity 4)
La: 0.223 0.181 0.000 (multiplicity 8)
Dy: 0.157 0.398 0.500 (multiplicity 8)
Tm: 0.000 0.500 0.500 (multiplicity 2)
Tm: 0.101 0.268 0.500 (multiplicity 8)
Tm: 0.141 0.072 0.500 (multiplicity 8)

Results
The value obtained for the total energy is -4.632 eV/atom. Its total magnetization is 0.00 μB/atom. For the density of states at the Fermi level, the calculation gives 1.4292 states/eV per atom.

***

[3]
Ac8Rh3I3Br | PBE-GGA | optimized geometry

a b c (Å): 9.0355 9.0355 24.5151
angles (deg): 90.00 90.00 120.00
Space group R-3m (No. 166, hexagonal axes)
Inequivalent atoms, fractional coordinates:
Ac: 0.0000 0.0000 0.2291 (multiplicity 6)
Ac: 0.0356 0.5178 0.7648 (multiplicity 18)
Rh: 0.0000 0.5000 0.5000 (multiplicity 9)
I: 0.0000 0.5000 0.0000 (multiplicity 9)
Br: 0.0000 0.0000 0.5000 (multiplicity 3)

Results
The value obtained for the total energy is -4.979 eV/atom. Its total magnetization is 0.00 μB/atom. The formation energy without anion corrections comes out at -86 kJ per mole of atoms. For the density of states at the Fermi level, the calculation gives 0.5959 states/eV per atom.

***

[4]
BeIr | PBE-GGA | optimized geometry

a b c (Å): 3.5738 3.5738 13.0481
angles (deg): 90.00 90.00 120.00
Space group R-3m (No. 166, hexagonal axes)
Inequivalent atoms, fractional coordinates:
Be: 0.0000 0.0000 0.1878 (multiplicity 6)
Ir: 0.0000 0.0000 0.3999 (multiplicity 6)

Results
The value obtained for the total energy is -6.404 eV/atom. Its total magnetization is 0.00 μB/atom. For the density of states at the Fermi level, the calculation gives 0.7507 states/eV per atom.

***

[5]
Pr6HoMg5 | PBE-GGA | optimized geometry

a b c (Å): 5.568 7.854 8.856
angles (deg): 90.00 108.35 90.00
Space group P2/m (No. 10)
Inequivalent atoms, fractional coordinates:
Pr: 0.000 0.240 0.000 (multiplicity 2)
Pr: 0.332 0.248 0.660 (multiplicity 4)
Ho: 0.500 0.500 0.000 (multiplicity 1)
Mg: 0.159 0.500 0.323 (multiplicity 2)
Mg: 0.164 0.000 0.334 (multiplicity 2)
Mg: 0.500 0.000 0.000 (multiplicity 1)

Results
The value obtained for the total energy is -3.501 eV/atom. Its total magnetization is 0.00 μB/atom. For the density of states at the Fermi level, the calculation gives 1.1299 states/eV per atom.

***

[6]
ZrFeBr2 | PBE-GGA | optimized geometry

a b c (Å): 3.207 6.206 8.753
angles (deg): 90.00 90.00 90.00
Space group Cmmm (No. 65)
Inequivalent atoms, fractional coordinates:
Zr: 0.000 0.000 0.000 (multiplicity 2)
Fe: 0.000 0.000 0.500 (multiplicity 2)
Br: 0.000 0.500 0.264 (multiplicity 4)

Results
The value obtained for the total energy is -4.947 eV/atom. Its total magnetization is 0.77 μB/atom. The formation energy without anion corrections comes out at 14 kJ per mole of atoms. For the density of states at the Fermi level, the calculation gives 1.2067 states/eV per atom.

***

[7]
LaTb2Er5 | PBE-GGA | optimized geometry

a b c (Å): 7.110 7.110 9.980
angles (deg): 90.00 90.00 90.00
Space group I4/mmm (No. 139)
Inequivalent atoms, fractional coordinates:
La: 0.000 0.000 0.000 (multiplicity 2)
Tb: 0.000 0.500 0.000 (multiplicity 4)
Er: 0.000 0.000 0.500 (multiplicity 2)
Er: 0.250 0.250 0.250 (multiplicity 8)

Results
The value obtained for the total energy is -4.603 eV/atom. Its total magnetization is 0.00 μB/atom. For the density of states at the Fermi level, the calculation gives 1.3467 states/eV per atom.

***

[8]
AcLaCd2 | PBE-GGA | optimized geometry

a b c (Å): 4.009 4.009 8.007
angles (deg): 90.00 90.00 90.00
Space group P4/mmm (No. 123)
Inequivalent atoms, fractional coordinates:
Ac: 0.000 0.000 0.000 (multiplicity 1)
La: 0.000 0.000 0.500 (multiplicity 1)
Cd: 0.500 0.500 0.265 (multiplicity 2)

Results
The value obtained for the total energy is -3.026 eV/atom. Its total magnetization is 0.06 μB/atom. For the density of states at the Fermi level, the calculation gives 1.4003 states/eV per atom.

***

[9]
BaSc2In | PBE-GGA | optimized geometry

a b c (Å): 3.644 5.889 11.437
angles (deg): 90.00 90.00 90.00
Space group Immm (No. 71)
Inequivalent atoms, fractional coordinates:
Ba: 0.000 0.000 0.000 (multiplicity 2)
Sc: 0.000 0.500 0.215 (multiplicity 4)
In: 0.000 0.000 0.500 (multiplicity 2)

Results
The value obtained for the total energy is -4.310 eV/atom. Its total magnetization is 0.00 μB/atom. For the density of states at the Fermi level, the calculation gives 1.4918 states/eV per atom.

***

[10]
CuTeSe2 | PBE-GGA | optimized geometry

a b c (Å): 3.648 5.480 8.797
angles (deg): 90.00 90.00 90.00
Space group Cmmm (No. 65)
Inequivalent atoms, fractional coordinates:
Cu: 0.000 0.000 0.000 (multiplicity 2)
Te: 0.000 0.000 0.500 (multiplicity 2)
Se: 0.000 0.500 0.179 (multiplicity 4)

Results
The value obtained for the total energy is -3.309 eV/atom. Its total magnetization is 0.00 μB/atom. The formation energy without anion corrections comes out at 23 kJ per mole of atoms. For the density of states at the Fermi level, the calculation gives 0.5592 states/eV per atom.

***

[11]
PmNd2UO8 | PBE-GGA | optimized geometry

a b c (Å): 3.956 5.537 7.714
angles (deg): 90.00 90.00 90.00
Space group Pmmm (No. 47)
Inequivalent atoms, fractional coordinates:
Pm: 0.000 0.000 0.000 (multiplicity 1)
Nd: 0.500 0.500 0.253 (multiplicity 2)
U: 0.000 0.000 0.500 (multiplicity 1)
O: 0.000 0.235 0.279 (multiplicity 4)
O: 0.500 0.221 0.500 (multiplicity 2)
O: 0.500 0.250 0.000 (multiplicity 2)

Results
The value obtained for the total energy is -8.621 eV/atom. Its total magnetization is 0.00 μB/atom. The formation energy without anion corrections comes out at -307 kJ per mole of atoms. For the density of states at the Fermi level, the calculation gives 0.7883 states/eV per atom.

***

[12]
MnPb2 | PBE-GGA | optimized geometry

a b c (Å): 7.131 4.175 10.196
angles (deg): 90.00 90.00 90.00
Space group Pnma (No. 62)
Inequivalent atoms, fractional coordinates:
Mn: 0.232 0.250 0.167 (multiplicity 4)
Pb: 0.019 0.750 0.303 (multiplicity 4)
Pb: 0.175 0.750 0.957 (multiplicity 4)

Results
The value obtained for the total energy is -5.172 eV/atom. Its total magnetization is 1.19 μB/atom. For the density of states at the Fermi level, the calculation gives 0.7985 states/eV per atom.